## NaCoF3 (PBE+U)

Data for a geometry-optimized NaCoF3 structure.

Unit cell a=5.484 b=5.665 c=7.877 alpha=90.00 beta=90.00 gamma=90.00
Last column: magnetic moment on the atom in μB.
Fractional positions:
F 0.893 0.539 0.750  0.05
F 0.393 0.961 0.250  0.05
F 0.804 0.801 0.444  0.05
F 0.607 0.039 0.750  0.05
F 0.107 0.461 0.250  0.05
F 0.804 0.801 0.056  0.05
F 0.304 0.699 0.944  0.05
F 0.304 0.699 0.556  0.05
F 0.196 0.199 0.556  0.05
F 0.196 0.199 0.944  0.05
F 0.696 0.301 0.056  0.05
F 0.696 0.301 0.444  0.05
Na 0.015 0.946 0.750  0.00
Na 0.485 0.446 0.750  0.00
Na 0.515 0.554 0.250  0.00
Na 0.985 0.054 0.250  0.00
Co 0.000 0.500 0.000  2.80
Co 0.500 0.000 0.500  2.80
Co 0.000 0.500 0.500  2.80
Co 0.500 0.000 0.000  2.80

Summary:
As for the density of states at the Fermi level: 0.00 states/eV/f.u. As for the uncorrected energy: -95.99 eV for the cell shown.